*A*
Here is a geometry-optimized Sc4Ga2Cu structure from Alexandria. Energies are from PBE.

Lattice parameters (Å, degrees): 8.058 8.058 8.058 33.73 33.73 33.73
Atoms (fractional coordinates):
Sc1 0.123 0.123 0.123
Sc2 0.373 0.373 0.373
Sc3 0.627 0.627 0.627
Sc4 0.877 0.877 0.877
Ga1 0.250 0.250 0.250
Ga2 0.750 0.750 0.750
Cu1 0.500 0.500 0.500



*B*
Here is a geometry-optimized Sc4Ga2Cu structure from Alexandria. Energies are from PBE.

Lattice parameters (Å, degrees): 7.613 7.613 7.613 142.58 142.58 53.96
Atoms (fractional coordinates):
Sc1 0.000 0.500 0.500
Sc2 0.187 0.187 0.000
Sc3 0.500 0.000 0.500
Sc4 0.813 0.813 0.000
Ga1 0.387 0.387 0.000
Ga2 0.613 0.613 0.000
Cu1 0.000 0.000 0.000



Decreasing stability: *A*, *B*



*A*
Here is a geometry-optimized ScGaCu3 structure from Alexandria. Energies are from PBE.

Lattice parameters (Å, degrees): 4.887 4.887 4.887 90.00 90.00 90.00
Atoms (fractional coordinates):
Sc1 0.000 0.000 0.000
Ga1 0.500 0.500 0.500
Cu1 0.000 0.000 0.500
Cu2 0.000 0.500 0.000
Cu3 0.500 0.000 0.000



*B*
Here is a geometry-optimized ScGaCu3 structure from Alexandria. Energies are from PBE.

Lattice parameters (Å, degrees): 4.457 4.457 4.457 90.00 90.00 90.00
Atoms (fractional coordinates):
Sc1 0.000 0.000 0.000
Ga1 0.500 0.500 0.500
Cu1 0.000 0.500 0.500
Cu2 0.500 0.000 0.500
Cu3 0.500 0.500 0.000



*C*
Here is a geometry-optimized ScGaCu3 structure from Alexandria. Energies are from PBE.

Lattice parameters (Å, degrees): 6.391 6.391 6.391 131.62 85.84 114.10
Atoms (fractional coordinates):
Sc1 0.344 0.094 0.250
Sc2 0.656 0.906 0.750
Ga1 0.000 0.500 0.500
Ga2 0.500 0.500 0.000
Cu1 0.135 0.000 0.635
Cu2 0.135 0.500 0.135
Cu3 0.255 0.505 0.750
Cu4 0.745 0.495 0.250
Cu5 0.865 0.000 0.365
Cu6 0.865 0.500 0.865



Decreasing stability: *C*, *B*, *A*



*A*
Here is a geometry-optimized Sc2Ga2Cu structure from Alexandria. Energies are from PBE.

Lattice parameters (Å, degrees): 7.002 7.002 4.111 90.00 90.00 90.00
Atoms (fractional coordinates):
Sc1 0.157 0.343 0.000
Sc2 0.343 0.843 0.000
Sc3 0.657 0.157 0.000
Sc4 0.843 0.657 0.000
Ga1 0.145 0.645 0.500
Ga2 0.355 0.145 0.500
Ga3 0.645 0.855 0.500
Ga4 0.855 0.355 0.500
Cu1 0.000 0.000 0.000
Cu2 0.500 0.500 0.000



*B*
Here is a geometry-optimized Sc2Ga2Cu structure from Alexandria. Energies are from PBE.

Lattice parameters (Å, degrees): 6.534 6.534 4.250 90.00 90.00 90.00
Atoms (fractional coordinates):
Sc1 0.168 0.332 0.000
Sc2 0.332 0.832 0.000
Sc3 0.668 0.168 0.000
Sc4 0.832 0.668 0.000
Ga1 0.139 0.639 0.500
Ga2 0.361 0.139 0.500
Ga3 0.639 0.861 0.500
Ga4 0.861 0.361 0.500
Cu1 0.000 0.000 0.500
Cu2 0.500 0.500 0.500



Decreasing stability: *B*, *A*



*A*
Here is a geometry-optimized Sc4GaCu2 structure from Alexandria. Energies are from PBE.

Lattice parameters (Å, degrees): 7.865 7.865 7.865 34.09 34.09 34.09
Atoms (fractional coordinates):
Sc1 0.116 0.116 0.116
Sc2 0.370 0.370 0.370
Sc3 0.630 0.630 0.630
Sc4 0.884 0.884 0.884
Ga1 0.500 0.500 0.500
Cu1 0.244 0.244 0.244
Cu2 0.756 0.756 0.756



*B*
Here is a geometry-optimized Sc4GaCu2 structure from Alexandria. Energies are from PBE.

Lattice parameters (Å, degrees): 8.698 8.698 8.698 30.13 30.13 30.13
Atoms (fractional coordinates):
Sc1 0.121 0.121 0.121
Sc2 0.295 0.295 0.295
Sc3 0.705 0.705 0.705
Sc4 0.879 0.879 0.879
Ga1 0.500 0.500 0.500
Cu1 0.403 0.403 0.403
Cu2 0.597 0.597 0.597



Decreasing stability: *A*, *B*



*A*
Here is a geometry-optimized Ga3CuSe structure from Alexandria. Energies are from PBE.

Lattice parameters (Å, degrees): 5.060 5.060 5.060 90.00 90.00 90.00
Atoms (fractional coordinates):
Ga1 0.000 0.000 0.500
Ga2 0.000 0.500 0.000
Ga3 0.500 0.000 0.000
Cu1 0.500 0.500 0.500
Se1 0.000 0.000 0.000



*B*
Here is a geometry-optimized Ga3CuSe structure from Alexandria. Energies are from PBE.

Lattice parameters (Å, degrees): 4.703 4.703 4.703 90.00 90.00 90.00
Atoms (fractional coordinates):
Ga1 0.000 0.000 0.500
Ga2 0.000 0.500 0.000
Ga3 0.500 0.000 0.000
Cu1 0.000 0.000 0.000
Se1 0.500 0.500 0.500



Decreasing stability: *B*, *A*



*A*
Here is a geometry-optimized Ga2CuSe structure from Alexandria. Energies are from PBE.

Lattice parameters (Å, degrees): 6.843 6.843 6.843 128.12 128.12 76.44
Atoms (fractional coordinates):
Ga1 0.097 0.625 0.972
Ga2 0.375 0.347 0.472
Ga3 0.653 0.125 0.028
Ga4 0.875 0.903 0.528
Cu1 0.000 0.000 0.000
Cu2 0.750 0.250 0.500
Se1 0.250 0.750 0.500
Se2 0.500 0.500 0.000



*B*
Here is a geometry-optimized Ga2CuSe structure from Alexandria. Energies are from PBE.

Lattice parameters (Å, degrees): 4.756 4.756 4.756 60.00 60.00 60.00
Atoms (fractional coordinates):
Ga1 0.250 0.250 0.250
Ga2 0.750 0.750 0.750
Cu1 0.000 0.000 0.000
Se1 0.500 0.500 0.500



Decreasing stability: *A*, *B*



*A*
Here is a geometry-optimized GaCuSe3 structure from Alexandria. Energies are from PBE.

Lattice parameters (Å, degrees): 4.872 4.872 4.872 90.00 90.00 90.00
Atoms (fractional coordinates):
Ga1 0.000 0.000 0.000
Cu1 0.500 0.500 0.500
Se1 0.000 0.500 0.500
Se2 0.500 0.000 0.500
Se3 0.500 0.500 0.000



*B*
Here is a geometry-optimized GaCuSe3 structure from Alexandria. Energies are from PBE.

Lattice parameters (Å, degrees): 11.465 11.465 6.155 90.00 90.00 161.41
Atoms (fractional coordinates):
Ga1 0.124 0.876 0.500
Ga2 0.876 0.124 0.000
Cu1 0.321 0.679 0.562
Cu2 0.679 0.321 0.062
Se1 0.128 0.872 0.903
Se2 0.216 0.784 0.280
Se3 0.441 0.559 0.944
Se4 0.559 0.441 0.444
Se5 0.784 0.216 0.780
Se6 0.872 0.128 0.403



*C*
Here is a geometry-optimized GaCuSe3 structure from Alexandria. Energies are from PBE.

Lattice parameters (Å, degrees): 4.967 4.967 4.967 90.00 90.00 90.00
Atoms (fractional coordinates):
Ga1 0.000 0.000 0.000
Cu1 0.500 0.500 0.500
Se1 0.000 0.000 0.500
Se2 0.000 0.500 0.000
Se3 0.500 0.000 0.000



Decreasing stability: *B*, *A*, *C*



*A*
Here is a geometry-optimized GaCuTeSe structure from Alexandria. Energies are from PBE.

Lattice parameters (Å, degrees): 7.185 7.185 7.185 131.70 131.50 70.86
Atoms (fractional coordinates):
Ga1 0.131 0.381 0.750
Ga2 0.369 0.119 0.250
Cu1 0.637 0.887 0.750
Cu2 0.863 0.613 0.250
Te1 0.250 0.983 0.733
Te2 0.750 0.517 0.767
Se1 0.502 0.750 0.252
Se2 0.998 0.250 0.248



*B*
Here is a geometry-optimized GaCuTeSe structure from Alexandria. Energies are from PBE.

Lattice parameters (Å, degrees): 4.212 4.212 7.189 107.10 107.10 59.85
Atoms (fractional coordinates):
Ga1 0.000 0.000 0.000
Cu1 0.503 0.503 0.509
Te1 0.871 0.871 0.613
Se1 0.381 0.381 0.144



Decreasing stability: *A*, *B*



*A*
Here is a geometry-optimized Zn2GaCuSe4 structure from Alexandria. Energies are from PBE.

Lattice parameters (Å, degrees): 13.432 13.432 13.432 17.37 17.37 17.37
Atoms (fractional coordinates):
Zn1 0.000 0.000 0.000
Zn2 0.249 0.249 0.249
Ga1 0.497 0.497 0.497
Cu1 0.740 0.740 0.740
Se1 0.061 0.061 0.061
Se2 0.310 0.310 0.310
Se3 0.560 0.560 0.560
Se4 0.805 0.805 0.805



*B*
Here is a geometry-optimized Zn2GaCuSe4 structure from Alexandria. Energies are from PBE.

Lattice parameters (Å, degrees): 6.965 6.965 6.965 131.60 131.60 70.86
Atoms (fractional coordinates):
Zn1 0.250 0.750 0.500
Zn2 0.750 0.250 0.500
Ga1 0.000 0.000 0.000
Cu1 0.500 0.500 0.000
Se1 0.130 0.130 0.504
Se2 0.374 0.870 0.000
Se3 0.626 0.626 0.496
Se4 0.870 0.374 0.000



Decreasing stability: *B*, *A*



*A*
Here is a geometry-optimized GaCu6Si structure from Alexandria. Energies are from PBE.

Lattice parameters (Å, degrees): 4.267 4.267 6.624 103.38 103.38 72.34
Atoms (fractional coordinates):
Ga1 0.000 0.000 0.000
Cu1 0.060 0.546 0.693
Cu2 0.368 0.368 0.082
Cu3 0.454 0.940 0.307
Cu4 0.546 0.060 0.693
Cu5 0.632 0.632 0.918
Cu6 0.940 0.454 0.307
Si1 0.500 0.500 0.500



*B*
Here is a geometry-optimized GaCu6Si structure from Alexandria. Energies are from PBE.

Lattice parameters (Å, degrees): 5.250 5.250 4.146 90.00 90.00 120.00
Atoms (fractional coordinates):
Ga1 0.000 0.000 0.000
Cu1 0.004 0.502 0.000
Cu2 0.337 0.168 0.500
Cu3 0.498 0.502 0.000
Cu4 0.498 0.996 0.000
Cu5 0.832 0.168 0.500
Cu6 0.832 0.663 0.500
Si1 0.333 0.667 0.500



Decreasing stability: *B*, *A*



*A*
Here is a geometry-optimized GaCu3Si structure from Alexandria. Energies are from PBE.

Lattice parameters (Å, degrees): 2.679 6.527 7.984 90.00 90.00 90.00
Atoms (fractional coordinates):
Ga1 0.250 0.250 0.067
Ga2 0.750 0.750 0.933
Cu1 0.250 0.560 0.691
Cu2 0.250 0.750 0.202
Cu3 0.250 0.940 0.691
Cu4 0.750 0.060 0.309
Cu5 0.750 0.250 0.798
Cu6 0.750 0.440 0.309
Si1 0.250 0.250 0.526
Si2 0.750 0.750 0.474



*B*
Here is a geometry-optimized GaCu3Si structure from Alexandria. Energies are from PBE.

Lattice parameters (Å, degrees): 4.468 4.468 4.468 90.00 90.00 90.00
Atoms (fractional coordinates):
Ga1 0.000 0.000 0.000
Cu1 0.000 0.500 0.500
Cu2 0.500 0.000 0.500
Cu3 0.500 0.500 0.000
Si1 0.500 0.500 0.500



Decreasing stability: *A*, *B*